(1)
# TmHfAlCu (PBE, relaxed)
data_TmHfAlCu
_space_group_name_H-M_alt 'F -4 3 m'
_space_group_IT_number 216
_space_group_name_Hall 'F -4 2 3'
_cell_length_a 6.804
_cell_length_b 6.804
_cell_length_c 6.804
_cell_angle_alpha 90.00
_cell_angle_beta 90.00
_cell_angle_gamma 90.00
loop_
_atom_site_label
_atom_site_type_symbol
_atom_site_fract_x
_atom_site_fract_y
_atom_site_fract_z
Tm1 Tm 0.000 0.000 0.000
Hf1 Hf 0.000 0.000 0.500
Al1 Al 0.250 0.250 0.750
Cu1 Cu 0.250 0.250 0.250
# M_tot: 0.00 μB per formula unit
# N(E_F): 15.55 states/eV/cell
# Volume: 19.68 A^3/atom
# Formation enthalpy at 0 K: -0.182 eV per atom

=====

(2)
# HfAlVCu2 (PBE, relaxed)
data_HfAlVCu2
_space_group_name_H-M_alt 'P 4/m m m'
_space_group_IT_number 123
_space_group_name_Hall '-P 4 2'
_cell_length_a 4.294
_cell_length_b 4.294
_cell_length_c 5.014
_cell_angle_alpha 90.00
_cell_angle_beta 90.00
_cell_angle_gamma 90.00
loop_
_atom_site_label
_atom_site_type_symbol
_atom_site_fract_x
_atom_site_fract_y
_atom_site_fract_z
Hf1 Hf 0.000 0.000 0.000
Al1 Al 0.000 0.000 0.500
V1 V 0.500 0.500 0.000
Cu1 Cu 0.000 0.500 0.500
# M_tot: 0.00 μB per formula unit
# N(E_F): 5.90 states/eV/cell
# Volume: 18.49 A^3/atom
# Formation enthalpy at 0 K: 0.996 eV per atom

=====

(3)
# HfAl2ZnCu2 (PBE, relaxed)
data_HfAl2ZnCu2
_space_group_name_H-M_alt 'P 4/m m m'
_space_group_IT_number 123
_space_group_name_Hall '-P 4 2'
_cell_length_a 4.363
_cell_length_b 4.363
_cell_length_c 5.342
_cell_angle_alpha 90.00
_cell_angle_beta 90.00
_cell_angle_gamma 90.00
loop_
_atom_site_label
_atom_site_type_symbol
_atom_site_fract_x
_atom_site_fract_y
_atom_site_fract_z
Hf1 Hf 0.000 0.000 0.000
Al1 Al 0.500 0.500 0.234
Zn1 Zn 0.000 0.000 0.500
Cu1 Cu 0.000 0.500 0.500
# M_tot: 0.00 μB per formula unit
# N(E_F): 1.36 states/eV/cell
# Volume: 16.94 A^3/atom
# Formation enthalpy at 0 K: 0.193 eV per atom

=====

(4)
# HfAl2ZnCu4 (PBE, relaxed)
data_HfAl2ZnCu4
_space_group_name_H-M_alt 'R -3 m'
_space_group_IT_number 166
_space_group_name_Hall '-R 3 2"'
_cell_length_a 4.1865
_cell_length_b 4.1865
_cell_length_c 22.6006
_cell_angle_alpha 90.00
_cell_angle_beta 90.00
_cell_angle_gamma 120.00
loop_
_atom_site_label
_atom_site_type_symbol
_atom_site_fract_x
_atom_site_fract_y
_atom_site_fract_z
Hf1 Hf 0.0000 0.0000 0.0000
Al1 Al 0.0000 0.0000 0.2504
Zn1 Zn 0.0000 0.0000 0.5000
Cu1 Cu 0.0000 0.0000 0.1271
Cu2 Cu 0.0000 0.0000 0.3896
# M_tot: 0.00 μB per formula unit
# N(E_F): 10.33 states/eV/cell
# Volume: 14.29 A^3/atom
# Formation enthalpy at 0 K: -0.210 eV per atom

=====

(5)
# Al2CuHg (PBE, relaxed)
data_Al2CuHg
_space_group_name_H-M_alt 'P 4/m m m'
_space_group_IT_number 123
_space_group_name_Hall '-P 4 2'
_cell_length_a 4.081
_cell_length_b 4.081
_cell_length_c 4.039
_cell_angle_alpha 90.00
_cell_angle_beta 90.00
_cell_angle_gamma 90.00
loop_
_atom_site_label
_atom_site_type_symbol
_atom_site_fract_x
_atom_site_fract_y
_atom_site_fract_z
Al1 Al 0.000 0.500 0.000
Cu1 Cu 0.000 0.000 0.500
Hg1 Hg 0.500 0.500 0.500
# M_tot: 0.00 μB per formula unit
# N(E_F): 2.07 states/eV/cell
# Volume: 16.81 A^3/atom
# Formation enthalpy at 0 K: 0.130 eV per atom

=====

(6)
# AlCu2Hg (PBE, relaxed)
data_AlCu2Hg
_space_group_name_H-M_alt 'P 4 m m'
_space_group_IT_number 99
_cell_length_a 3.245
_cell_length_b 3.245
_cell_length_c 5.863
_cell_angle_alpha 90.00
_cell_angle_beta 90.00
_cell_angle_gamma 90.00
loop_
_space_group_symop_operation_xyz
'x,y,z'
'-y,x,z'
'-x,-y,z'
'y,-x,z'
'-x,y,z'
'y,x,z'
'x,-y,z'
'-y,-x,z'
loop_
_atom_site_label
_atom_site_type_symbol
_atom_site_fract_x
_atom_site_fract_y
_atom_site_fract_z
Al1 Al 0.000 0.000 0.000
Cu1 Cu 0.000 0.000 0.423
Cu2 Cu 0.500 0.500 0.211
Hg1 Hg 0.500 0.500 0.694
# M_tot: 0.00 μB per formula unit
# Polymorph energy (0 for the lowest one): 59.2 meV/atom
# N(E_F): 1.65 states/eV/cell
# Volume: 15.44 A^3/atom
# Formation enthalpy at 0 K: 0.065 eV per atom

=====

(7)
# Al2Cu2Hg (PBE, relaxed)
data_Al2Cu2Hg
_space_group_name_H-M_alt 'P 4/m b m'
_space_group_IT_number 127
_space_group_name_Hall '-P 4 2ab'
_cell_length_a 7.472
_cell_length_b 7.472
_cell_length_c 2.838
_cell_angle_alpha 90.00
_cell_angle_beta 90.00
_cell_angle_gamma 90.00
loop_
_atom_site_label
_atom_site_type_symbol
_atom_site_fract_x
_atom_site_fract_y
_atom_site_fract_z
Al1 Al 0.171 0.329 0.000
Cu1 Cu 0.122 0.622 0.500
Hg1 Hg 0.000 0.000 0.500
# M_tot: 0.00 μB per formula unit
# Polymorph energy (0 for the lowest one): 0.0 meV/atom
# N(E_F): 2.78 states/eV/cell
# Volume: 15.85 A^3/atom
# Formation enthalpy at 0 K: 0.021 eV per atom

=====

(8)
# AlCu2Hg (PBE, relaxed)
data_AlCu2Hg
_space_group_name_H-M_alt 'F m -3 m'
_space_group_IT_number 225
_space_group_name_Hall '-F 4 2 3'
_cell_length_a 6.241
_cell_length_b 6.241
_cell_length_c 6.241
_cell_angle_alpha 90.00
_cell_angle_beta 90.00
_cell_angle_gamma 90.00
loop_
_atom_site_label
_atom_site_type_symbol
_atom_site_fract_x
_atom_site_fract_y
_atom_site_fract_z
Al1 Al 0.000 0.000 0.000
Cu1 Cu 0.250 0.250 0.250
Hg1 Hg 0.000 0.000 0.500
# M_tot: 0.00 μB per formula unit
# Polymorph energy (0 for the lowest one): 75.5 meV/atom
# N(E_F): 3.15 states/eV/cell
# Volume: 15.19 A^3/atom
# Formation enthalpy at 0 K: 0.081 eV per atom

=====

(9)
# Al2CuHg (PBE, relaxed)
data_Al2CuHg
_space_group_name_H-M_alt 'C 1 2/m 1'
_space_group_IT_number 12
_cell_length_a 8.598
_cell_length_b 2.925
_cell_length_c 5.676
_cell_angle_alpha 90.00
_cell_angle_beta 104.24
_cell_angle_gamma 90.00
loop_
_space_group_symop_operation_xyz
'x,y,z'
'-x,-y,-z'
'-x,y,-z'
'x,-y,z'
'x+1/2,y+1/2,z'
'-x+1/2,-y+1/2,-z'
'-x+1/2,y+1/2,-z'
'x+1/2,-y+1/2,z'
loop_
_atom_site_label
_atom_site_type_symbol
_atom_site_fract_x
_atom_site_fract_y
_atom_site_fract_z
Al1 Al 0.239 0.000 0.209
Cu1 Cu 0.000 0.500 0.000
Hg1 Hg 0.000 0.000 0.500
# M_tot: 0.00 μB per formula unit
# N(E_F): 2.18 states/eV/cell
# Volume: 17.29 A^3/atom
# Formation enthalpy at 0 K: 0.053 eV per atom

=====

(10)
# AlCu2Hg (PBE, relaxed)
data_AlCu2Hg
_space_group_name_H-M_alt 'I 4/m m m'
_space_group_IT_number 139
_space_group_name_Hall '-I 4 2'
_cell_length_a 3.991
_cell_length_b 3.991
_cell_length_c 7.602
_cell_angle_alpha 90.00
_cell_angle_beta 90.00
_cell_angle_gamma 90.00
loop_
_atom_site_label
_atom_site_type_symbol
_atom_site_fract_x
_atom_site_fract_y
_atom_site_fract_z
Al1 Al 0.000 0.000 0.000
Cu1 Cu 0.000 0.500 0.250
Hg1 Hg 0.000 0.000 0.500
# M_tot: 0.00 μB per formula unit
# Polymorph energy (0 for the lowest one): 63.4 meV/atom
# N(E_F): 2.29 states/eV/cell
# Volume: 15.14 A^3/atom
# Formation enthalpy at 0 K: 0.069 eV per atom

=====

(11)
# Al2CuHg (PBE, relaxed)
data_Al2CuHg
_space_group_name_H-M_alt 'F -4 3 m'
_space_group_IT_number 216
_space_group_name_Hall 'F -4 2 3'
_cell_length_a 6.555
_cell_length_b 6.555
_cell_length_c 6.555
_cell_angle_alpha 90.00
_cell_angle_beta 90.00
_cell_angle_gamma 90.00
loop_
_atom_site_label
_atom_site_type_symbol
_atom_site_fract_x
_atom_site_fract_y
_atom_site_fract_z
Al1 Al 0.000 0.000 0.000
Al2 Al 0.250 0.250 0.250
Cu1 Cu 0.250 0.250 0.750
Hg1 Hg 0.000 0.000 0.500
# M_tot: 0.00 μB per formula unit
# N(E_F): 4.21 states/eV/cell
# Volume: 17.61 A^3/atom
# Formation enthalpy at 0 K: 0.230 eV per atom

=====

(12)
# AlCu2Hg (PBE, relaxed)
data_AlCu2Hg
_space_group_name_H-M_alt 'I -4 2 d'
_space_group_IT_number 122
_space_group_name_Hall 'I -4 2bw'
_cell_length_a 7.129
_cell_length_b 7.129
_cell_length_c 5.375
_cell_angle_alpha 90.00
_cell_angle_beta 90.00
_cell_angle_gamma 90.00
loop_
_atom_site_label
_atom_site_type_symbol
_atom_site_fract_x
_atom_site_fract_y
_atom_site_fract_z
Al1 Al 0.000 0.000 0.000
Cu1 Cu 0.227 0.250 0.125
Hg1 Hg 0.000 0.000 0.500
# M_tot: 0.00 μB per formula unit
# Polymorph energy (0 for the lowest one): 277.9 meV/atom
# N(E_F): 6.78 states/eV/cell
# Volume: 17.08 A^3/atom
# Formation enthalpy at 0 K: 0.284 eV per atom

=====

(13)
# AlCu2Hg (PBE, relaxed)
data_AlCu2Hg
_space_group_name_H-M_alt 'I m m 2'
_space_group_IT_number 44
_cell_length_a 3.106
_cell_length_b 4.395
_cell_length_c 8.945
_cell_angle_alpha 90.00
_cell_angle_beta 90.00
_cell_angle_gamma 90.00
loop_
_space_group_symop_operation_xyz
'x,y,z'
'-x,-y,z'
'-x,y,z'
'x,-y,z'
'x+1/2,y+1/2,z+1/2'
'-x+1/2,-y+1/2,z+1/2'
'-x+1/2,y+1/2,z+1/2'
'x+1/2,-y+1/2,z+1/2'
loop_
_atom_site_label
_atom_site_type_symbol
_atom_site_fract_x
_atom_site_fract_y
_atom_site_fract_z
Al1 Al 0.000 0.000 0.000
Cu1 Cu 0.000 0.000 0.469
Cu2 Cu 0.000 0.500 0.740
Hg1 Hg 0.000 0.500 0.229
# M_tot: 0.00 μB per formula unit
# Polymorph energy (0 for the lowest one): 79.1 meV/atom
# N(E_F): 1.51 states/eV/cell
# Volume: 15.26 A^3/atom
# Formation enthalpy at 0 K: 0.085 eV per atom

=====

(14)
# Al2CuHg2 (PBE, relaxed)
data_Al2CuHg2
_space_group_name_H-M_alt 'P 4/m b m'
_space_group_IT_number 127
_space_group_name_Hall '-P 4 2ab'
_cell_length_a 6.706
_cell_length_b 6.706
_cell_length_c 4.319
_cell_angle_alpha 90.00
_cell_angle_beta 90.00
_cell_angle_gamma 90.00
loop_
_atom_site_label
_atom_site_type_symbol
_atom_site_fract_x
_atom_site_fract_y
_atom_site_fract_z
Al1 Al 0.148 0.352 0.000
Cu1 Cu 0.000 0.000 0.000
Hg1 Hg 0.169 0.669 0.500
# M_tot: 0.00 μB per formula unit
# Polymorph energy (0 for the lowest one): 0.0 meV/atom
# N(E_F): 4.22 states/eV/cell
# Volume: 19.42 A^3/atom
# Formation enthalpy at 0 K: 0.168 eV per atom